Record 1
# TiCd8 GGA-PBE relaxed
# **Crystal system**: tetragonal
# **Calculated formation energy**: 0.0668 eV/atom
# **Symmetry**: I4/mmm
data_TiCd8
_space_group_name_H-M_alt 'P 1'
_space_group_IT_number 1
_cell_length_a 3.0312
_cell_length_b 8.2318
_cell_length_c 8.2318
_cell_angle_alpha 88.06
_cell_angle_beta 79.39
_cell_angle_gamma 79.39
loop_
_space_group_symop_operation_xyz
'x,y,z'
loop_
_atom_site_label
_atom_site_type_symbol
_atom_site_fract_x
_atom_site_fract_y
_atom_site_fract_z
Ti1 Ti 0.0000 0.0000 0.0000
Cd1 Cd 0.6670 0.3330 0.3330
Cd2 Cd 0.3383 0.0000 0.3234
Cd3 Cd 0.6617 0.6766 0.0000
Cd4 Cd 0.3383 0.3234 0.0000
Cd5 Cd 0.6617 0.0000 0.6766
Cd6 Cd 0.0000 0.3330 0.6670
Cd7 Cd 0.3330 0.6670 0.6670
Cd8 Cd 0.0000 0.6670 0.3330

---

Record 2
# K2PrMnS4 GGA-PBE relaxed
# **Crystal system**: monoclinic
# **Energy relative to the elements, uncorrected**: -1.2135 eV per atom
# **Symmetry**: C2/c
data_K2PrMnS4
_space_group_name_H-M_alt 'P 1'
_space_group_IT_number 1
_cell_length_a 8.1524
_cell_length_b 8.1524
_cell_length_c 8.4671
_cell_angle_alpha 118.93
_cell_angle_beta 118.93
_cell_angle_gamma 89.39
loop_
_space_group_symop_operation_xyz
'x,y,z'
loop_
_atom_site_label
_atom_site_type_symbol
_atom_site_fract_x
_atom_site_fract_y
_atom_site_fract_z
S1 S 0.8043 0.7905 0.0090
S2 S 0.2642 0.6914 0.4670
S3 S 0.1957 0.2095 0.9909
S4 S 0.7358 0.3086 0.5330
S5 S 0.2905 0.3043 0.5091
S6 S 0.1914 0.7642 0.9670
S7 S 0.8086 0.2358 0.0330
S8 S 0.7095 0.6957 0.4910
K1 K 0.5000 0.0000 0.0000
K2 K 0.0000 0.0000 0.5000
K3 K 0.5000 0.0000 0.5000
K4 K 0.5000 0.5000 0.0000
Mn1 Mn 0.5000 0.5000 0.5000
Mn2 Mn 0.0000 0.0000 0.0000
Pr1 Pr 0.0000 0.5000 0.5000
Pr2 Pr 0.0000 0.5000 0.0000

---

Record 3
# Cs2InAg2 GGA-PBE relaxed
# **Crystal system**: tetragonal
# **Relative energy among the computed polymorphs**: 146.8 meV per atom
# **Calculated formation energy**: 0.0960 eV/atom
# **Symmetry**: P4/mbm
data_Cs2InAg2
_space_group_name_H-M_alt 'P 1'
_space_group_IT_number 1
_cell_length_a 7.9581
_cell_length_b 7.9581
_cell_length_c 5.8747
_cell_angle_alpha 90.00
_cell_angle_beta 90.00
_cell_angle_gamma 90.00
loop_
_space_group_symop_operation_xyz
'x,y,z'
loop_
_atom_site_label
_atom_site_type_symbol
_atom_site_fract_x
_atom_site_fract_y
_atom_site_fract_z
Ag1 Ag 0.6304 0.1304 0.0000
Ag2 Ag 0.3696 0.8696 0.0000
Ag3 Ag 0.8696 0.6304 0.0000
Ag4 Ag 0.1304 0.3696 0.0000
Cs1 Cs 0.6764 0.8236 0.5000
Cs2 Cs 0.8236 0.3236 0.5000
Cs3 Cs 0.1764 0.6764 0.5000
Cs4 Cs 0.3236 0.1764 0.5000
In1 In 0.0000 0.0000 0.0000
In2 In 0.5000 0.5000 0.0000

---

Record 4
# LiTh2Ga GGA-PBE relaxed
# **Crystal system**: tetragonal
# **Calculated formation energy**: -0.1347 eV/atom
# **Symmetry**: P4/mmm
data_LiTh2Ga
_space_group_name_H-M_alt 'P 1'
_space_group_IT_number 1
_cell_length_a 4.2313
_cell_length_b 4.8466
_cell_length_c 4.8466
_cell_angle_alpha 90.00
_cell_angle_beta 90.00
_cell_angle_gamma 90.00
loop_
_space_group_symop_operation_xyz
'x,y,z'
loop_
_atom_site_label
_atom_site_type_symbol
_atom_site_fract_x
_atom_site_fract_y
_atom_site_fract_z
Th1 Th 0.0000 0.0000 0.5000
Th2 Th 0.0000 0.5000 0.0000
Li1 Li 0.5000 0.5000 0.5000
Ga1 Ga 0.5000 0.0000 0.0000

---

For each record above, in turn, the calculated calculated volume values are 22.05 25.77 37.21 24.85 A^3/atom.